Entry from OQMD: a relaxed structure of ErMgCuSe2S (GGA-PBE).

Cell: 6.5658 6.5658 10.3132 Å, 90.00 90.00 146.22°
Atoms (fractional coordinates):
Er 0.0000 0.0000 0.0000
Er 0.0000 0.0000 0.5000
Mg 0.2499 0.7501 0.7500
Mg 0.7501 0.2499 0.2500
Cu 0.4838 0.5162 0.2500
Cu 0.5162 0.4838 0.7500
Se 0.3496 0.6504 0.0782
Se 0.3496 0.6504 0.4218
Se 0.6504 0.3496 0.5782
Se 0.6504 0.3496 0.9218
S 0.0954 0.9046 0.2500
S 0.9046 0.0954 0.7500

As for the total energy: -55.99 eV per cell.